[1]
Here is a geometry-optimized Hf2NbAu2 structure from Alexandria. Energies are from PBE.

Structure (extended XYZ):
```
5
Lattice="1.8327 -8.4094 0.0000 1.8327 8.4094 0.0000 0.0000 0.0000 3.2722" Properties=species:S:1:pos:R:3 pbc="T T T"
Hf 1.8327 6.7305 0.0000
Hf 1.8327 -6.7305 0.0000
Nb 1.8327 0.0000 1.6361
Au 1.8327 3.1489 1.6361
Au 1.8327 -3.1489 1.6361
```

Calculated values
V: 20.17 Å³ per atom
ρ: 13892 kg/m³
spin magnetization: 0.00 Bohr magnetons per cell
DFT formation energy: -295 meV per atom
raw total energy: -38.007 eV per formula unit

***

[2]
Here is a geometry-optimized ZrTeBr2 structure from Alexandria. Energies are from PBE.

Structure (extended XYZ):
```
4
Lattice="-2.3310 2.3310 4.4636 2.3310 -2.3310 4.4636 2.3310 2.3310 -4.4636" Properties=species:S:1:pos:R:3 pbc="T T T"
Zr 0.0000 0.0000 0.0000
Te 0.0000 0.0000 4.4636
Br 2.3310 0.0000 2.2318
Br 0.0000 2.3310 2.2318
```

Calculated values
V: 24.25 Å³ per atom
ρ: 6481 kg/m³
spin magnetization: 0.00 Bohr magnetons per cell
raw total energy: -15.636 eV per formula unit
uncorrected formation energy: -0.15 eV per atom